w | # AcDy2Cd | Alexandria via LeMat-Bulk | PBE | optimized geometry
data_AcDy2Cd
_space_group_name_H-M_alt 'P 1'
_space_group_IT_number 1
_space_group_name_Hall 'P 1'
_cell_length_a 5.119
_cell_length_b 4.987
_cell_length_c 4.987
_cell_angle_alpha 90.00
_cell_angle_beta 90.00
_cell_angle_gamma 90.00
loop_
_atom_site_label
_atom_site_type_symbol
_atom_site_fract_x
_atom_site_fract_y
_atom_site_fract_z
Cd1 Cd 0.500 0.000 0.000
Dy1 Dy 0.000 0.000 0.500
Dy2 Dy 0.000 0.500 0.000
Ac1 Ac 0.500 0.500 0.500
# **DOS at the Fermi energy**: 1.59 states/eV/atom


x | # AcDy2Cd | Alexandria via LeMat-Bulk | PBE | optimized geometry
data_AcDy2Cd
_space_group_name_H-M_alt 'P 1'
_space_group_IT_number 1
_space_group_name_Hall 'P 1'
_cell_length_a 5.615
_cell_length_b 5.615
_cell_length_c 5.615
_cell_angle_alpha 60.00
_cell_angle_beta 60.00
_cell_angle_gamma 60.00
loop_
_atom_site_label
_atom_site_type_symbol
_atom_site_fract_x
_atom_site_fract_y
_atom_site_fract_z
Dy1 Dy 0.750 0.750 0.750
Dy2 Dy 0.250 0.250 0.250
Ac1 Ac 0.500 0.500 0.500
Cd1 Cd 0.000 0.000 0.000
# **DOS at the Fermi energy**: 1.67 states/eV/atom


Calculated relative energies: w 0.000; x 0.112, given in eV/atom


w | # AcDy2Cd | Alexandria via LeMat-Bulk | PBE | optimized geometry
data_AcDy2Cd
_space_group_name_H-M_alt 'P 1'
_space_group_IT_number 1
_space_group_name_Hall 'P 1'
_cell_length_a 3.767
_cell_length_b 3.767
_cell_length_c 8.992
_cell_angle_alpha 90.00
_cell_angle_beta 90.00
_cell_angle_gamma 90.00
loop_
_atom_site_label
_atom_site_type_symbol
_atom_site_fract_x
_atom_site_fract_y
_atom_site_fract_z
Cd1 Cd 0.500 0.500 0.000
Ac1 Ac 0.500 0.500 0.500
Dy1 Dy 0.000 0.000 0.206
Dy2 Dy 0.000 0.000 0.794
# **DOS at the Fermi energy**: 1.43 states/eV/atom


x | # AcDy2Cd | Alexandria via LeMat-Bulk | PBE | optimized geometry
data_AcDy2Cd
_space_group_name_H-M_alt 'P 1'
_space_group_IT_number 1
_space_group_name_Hall 'P 1'
_cell_length_a 3.590
_cell_length_b 3.590
_cell_length_c 12.244
_cell_angle_alpha 81.57
_cell_angle_beta 81.57
_cell_angle_gamma 60.00
loop_
_atom_site_label
_atom_site_type_symbol
_atom_site_fract_x
_atom_site_fract_y
_atom_site_fract_z
Dy1 Dy 0.901 0.901 0.297
Dy2 Dy 0.099 0.099 0.703
Ac1 Ac 0.000 0.000 0.000
Cd1 Cd 0.500 0.500 0.500
# **DOS at the Fermi energy**: 1.48 states/eV/atom


y | # AcDy2Cd | Alexandria via LeMat-Bulk | PBE | optimized geometry
data_AcDy2Cd
_space_group_name_H-M_alt 'P 1'
_space_group_IT_number 1
_space_group_name_Hall 'P 1'
_cell_length_a 3.727
_cell_length_b 3.727
_cell_length_c 11.215
_cell_angle_alpha 80.43
_cell_angle_beta 80.43
_cell_angle_gamma 60.00
loop_
_atom_site_label
_atom_site_type_symbol
_atom_site_fract_x
_atom_site_fract_y
_atom_site_fract_z
Ac1 Ac 0.500 0.500 0.499
Cd1 Cd 0.666 0.666 0.001
Dy1 Dy 0.261 0.261 0.218
Dy2 Dy 0.073 0.073 0.782
# **DOS at the Fermi energy**: 1.26 states/eV/atom


Calculated relative energies: w 0.000; x 0.262; y 0.106, given in eV/atom


w | # AcDy3Cd2 | Alexandria via LeMat-Bulk | PBE | optimized geometry
data_AcDy3Cd2
_space_group_name_H-M_alt 'P 1'
_space_group_IT_number 1
_space_group_name_Hall 'P 1'
_cell_length_a 5.510
_cell_length_b 9.645
_cell_length_c 8.979
_cell_angle_alpha 124.32
_cell_angle_beta 90.00
_cell_angle_gamma 106.60
loop_
_atom_site_label
_atom_site_type_symbol
_atom_site_fract_x
_atom_site_fract_y
_atom_site_fract_z
Cd1 Cd 0.496 0.992 0.154
Cd2 Cd 0.504 0.008 0.846
Cd3 Cd 0.229 0.458 0.849
Cd4 Cd 0.771 0.542 0.151
Dy1 Dy 0.696 0.393 0.400
Dy2 Dy 0.615 0.231 0.700
Dy3 Dy 0.304 0.607 0.600
Dy4 Dy 0.066 0.132 0.411
Dy5 Dy 0.385 0.769 0.300
Dy6 Dy 0.934 0.868 0.589
Ac1 Ac 0.132 0.264 0.079
Ac2 Ac 0.868 0.736 0.921
# **DOS at the Fermi energy**: 1.02 states/eV/atom


x | # AcDy3Cd2 | Alexandria via LeMat-Bulk | PBE | optimized geometry
data_AcDy3Cd2
_space_group_name_H-M_alt 'P 1'
_space_group_IT_number 1
_space_group_name_Hall 'P 1'
_cell_length_a 3.756
_cell_length_b 3.756
_cell_length_c 12.780
_cell_angle_alpha 90.00
_cell_angle_beta 90.00
_cell_angle_gamma 90.00
loop_
_atom_site_label
_atom_site_type_symbol
_atom_site_fract_x
_atom_site_fract_y
_atom_site_fract_z
Ac1 Ac 0.500 0.500 0.500
Dy1 Dy 0.000 0.000 0.291
Dy2 Dy 0.000 0.000 0.709
Dy3 Dy 0.000 0.000 0.000
Cd1 Cd 0.500 0.500 0.854
Cd2 Cd 0.500 0.500 0.146
# **DOS at the Fermi energy**: 1.36 states/eV/atom


Calculated relative energies: w 0.057; x 0.000, given in eV/atom